Record 1
The following is a GGA-PBE calculation of MnAl2Pt3 after structural relaxation, from the Alexandria database.

The value obtained for the uncorrected energy is -6.607 eV/atom.

The space group is C2/c (No. 15) and the conventional cell measures 8.184, 12.189 and 4.074 Å, with angles of 90.00, 119.74 and 90.00 degrees. The inequivalent atoms are Mn at (0.000, 0.078, 0.250), Al at (0.000, 0.236, 0.750), Al at (0.000, 0.411, 0.250), Pt at (0.227, 0.415, 0.977) and Pt at (0.250, 0.250, 0.500).

Record 2
The following is a GGA-PBE calculation of Ge2BPtW after structural relaxation, from the Alexandria database.

The value obtained for the uncorrected energy is -5.432 eV/atom.

The space group is P4/mmm (No. 123) and the conventional cell measures 4.866, 4.866 and 4.894 Å, with angles of 90.00, 90.00 and 90.00 degrees. The inequivalent atoms are Ge at (0.000, 0.500, 0.000), B at (0.000, 0.000, 0.500), Pt at (0.500, 0.500, 0.500) and W at (0.500, 0.500, 0.000).

Record 3
The following is a GGA-PBE calculation of Tb3TmPd4 after structural relaxation, from the Alexandria database.

The value obtained for the uncorrected energy is -5.779 eV/atom.

The space group is Pmmm (No. 47) and the conventional cell measures 3.432, 5.010 and 10.029 Å, with angles of 90.00, 90.00 and 90.00 degrees. The inequivalent atoms are Tb at (0.000, 0.000, 0.000), Tb at (0.000, 0.500, 0.251), Tm at (0.000, 0.000, 0.500), Pd at (0.500, 0.000, 0.256), Pd at (0.500, 0.500, 0.000) and Pd at (0.500, 0.500, 0.500).

Record 4
The following is a GGA-PBE calculation of NaTiSb after structural relaxation, from the Alexandria database.

The value obtained for the uncorrected energy is -4.625 eV/atom.

The space group is R-3m (No. 166, hexagonal axes) and the conventional cell measures 4.5673, 4.5673 and 25.0994 Å, with angles of 90.00, 90.00 and 120.00 degrees. The inequivalent atoms are Na at (0.0000, 0.0000, 0.1358), Ti at (0.0000, 0.0000, 0.2993) and Sb at (0.0000, 0.0000, 0.4101).

Record 5
The following is a GGA-PBE calculation of La2ZnCu4Si3 after structural relaxation, from the Alexandria database.

The value obtained for the uncorrected energy is -4.879 eV/atom.

The space group is P-4m2 (No. 115) and the conventional cell measures 4.192, 4.192 and 9.950 Å, with angles of 90.00, 90.00 and 90.00 degrees. The inequivalent atoms are La at (0.000, 0.500, 0.243), Zn at (0.000, 0.000, 0.500), Cu at (0.000, 0.000, 0.000), Cu at (0.000, 0.500, 0.631), Cu at (0.500, 0.500, 0.000), Si at (0.000, 0.500, 0.872) and Si at (0.500, 0.500, 0.500).

Record 6
The following is a GGA-PBE calculation of Mn2ZnPt after structural relaxation, from the Alexandria database.

The value obtained for the uncorrected energy is -6.611 eV/atom.

The space group is P4mm (No. 99) and the conventional cell measures 3.212, 3.212 and 5.517 Å, with angles of 90.00, 90.00 and 90.00 degrees. The inequivalent atoms are Mn at (0.000, 0.000, 0.000), Mn at (0.500, 0.500, 0.229), Zn at (0.500, 0.500, 0.742) and Pt at (0.000, 0.000, 0.493).

Record 7
The following is a GGA-PBE calculation of Y5GaRh2 after structural relaxation, from the Alexandria database.

The value obtained for the uncorrected energy is -6.891 eV/atom.

The space group is I4/mcm (No. 140) and the conventional cell measures 7.690, 7.690 and 13.345 Å, with angles of 90.00, 90.00 and 90.00 degrees. The inequivalent atoms are Y at (0.000, 0.000, 0.000), Y at (0.162, 0.338, 0.140), Ga at (0.000, 0.000, 0.250) and Rh at (0.137, 0.363, 0.500).

Record 8
The following is a GGA-PBE calculation of PuNp2Bi9 after structural relaxation, from the Alexandria database.

The value obtained for the uncorrected energy is -6.332 eV/atom.

The space group is P4/mmm (No. 123) and the conventional cell measures 4.906, 4.906 and 14.917 Å, with angles of 90.00, 90.00 and 90.00 degrees. The inequivalent atoms are Pu at (0.000, 0.000, 0.000), Np at (0.000, 0.000, 0.337), Bi at (0.000, 0.500, 0.168), Bi at (0.000, 0.500, 0.500), Bi at (0.500, 0.500, 0.000) and Bi at (0.500, 0.500, 0.334).

Look up the uncorrected energy of the sixth one. -6.611 eV/atom

The lowest uncorrected energy belongs to which entry? Y5GaRh2